The following is a DFT calculation (PBE) of an optimized crystal structure of NiP2Rh.

Values from the calculation:
The total magnetic moment comes out at 0.0 μB per formula unit. For the density of states at the Fermi level, the calculation gives 0.56 states/eV per atom. As for the space group: No. 123. The calculation puts the calculated total energy at -6.088 eV per atom. Its calculated density is 7.32 g/cm³.

Cell lengths 3.007, 3.005, 5.613 Å; angles 90.00, 90.00, 90.00 degrees
Fractional positions:
Ni 0.500 0.500 0.750
P 0.000 0.000 0.513
Rh 0.500 0.500 0.250
P 0.000 0.000 0.987


The following is a DFT calculation (PBE) of an optimized crystal structure of Ni2PRh.

Values from the calculation:
The total magnetic moment comes out at 0.0 μB per formula unit. For the density of states at the Fermi level, the calculation gives 0.81 states/eV per atom. As for the space group: No. 71. The calculation puts the calculated total energy at -6.389 eV per atom. Its calculated density is 8.78 g/cm³.

Cell lengths 4.862, 4.862, 4.862 Å; angles 147.25, 129.53, 61.48 degrees
Fractional positions:
Rh 0.500 0.000 0.500
Ni 0.790 0.790 0.000
Ni 0.210 0.210 0.000
P 0.000 0.500 0.500


The following is a DFT calculation (PBE) of an optimized crystal structure of Ni5P2Rh.

Values from the calculation:
The total magnetic moment comes out at 0.0 μB per formula unit. For the density of states at the Fermi level, the calculation gives 0.65 states/eV per atom. As for the space group: No. 71. The calculation puts the calculated total energy at -6.248 eV per atom. Its calculated density is 8.11 g/cm³.

Cell lengths 3.482, 5.515, 5.515 Å; angles 75.00, 71.60, 71.60 degrees
Fractional positions:
Ni 0.654 0.533 0.158
Ni 0.654 0.158 0.533
Ni 0.000 0.500 0.500
Rh 0.000 0.000 0.000
P 0.273 0.227 0.227
Ni 0.346 0.842 0.467
P 0.727 0.773 0.773
Ni 0.346 0.467 0.842


The following is a DFT calculation (PBE) of an optimized crystal structure of Ni2PRh.

Values from the calculation:
The total magnetic moment comes out at 0.0 μB per formula unit. For the density of states at the Fermi level, the calculation gives 1.29 states/eV per atom. As for the space group: No. 123. The calculation puts the calculated total energy at -6.190 eV per atom. Its calculated density is 8.76 g/cm³.

Cell lengths 2.812, 2.815, 6.016 Å; angles 90.00, 90.00, 90.00 degrees
Fractional positions:
Ni 0.000 0.000 0.212
Rh 0.500 0.500 0.500
P 0.500 0.500 0.000
Ni 0.000 0.000 0.788


The following is a DFT calculation (PBE) of an optimized crystal structure of Ni2PRh.

Values from the calculation:
The total magnetic moment comes out at 0.0 μB per formula unit. For the density of states at the Fermi level, the calculation gives 0.70 states/eV per atom. As for the space group: No. 38. The calculation puts the calculated total energy at -6.370 eV per atom. Its calculated density is 8.49 g/cm³.

Cell lengths 3.388, 2.843, 5.299 Å; angles 74.41, 90.00, 90.00 degrees
Fractional positions:
P 0.000 0.714 0.446
Ni 0.500 0.296 0.283
Ni 0.000 0.924 0.028
Rh 0.500 0.566 0.742


The following is a DFT calculation (PBE) of an optimized crystal structure of NiPRh.

Values from the calculation:
The total magnetic moment comes out at 0.0 μB per formula unit. For the density of states at the Fermi level, the calculation gives 0.97 states/eV per atom. As for the space group: No. 107. The calculation puts the calculated total energy at -6.450 eV per atom. Its calculated density is 8.61 g/cm³.

Cell lengths 4.957, 4.957, 4.957 Å; angles 146.40, 146.40, 48.25 degrees
Fractional positions:
Rh 0.685 0.685 0.000
Ni 0.974 0.974 0.000
P 0.341 0.341 0.000


The following is a DFT calculation (PBE) of an optimized crystal structure of NiP2Rh.

Values from the calculation:
The total magnetic moment comes out at 0.0 μB per formula unit. For the density of states at the Fermi level, the calculation gives 0.38 states/eV per atom. As for the space group: No. 6. The calculation puts the calculated total energy at -6.391 eV per atom. Its calculated density is 6.52 g/cm³.

Cell lengths 4.532, 3.139, 4.263 Å; angles 69.86, 90.00, 90.00 degrees
Fractional positions:
P 0.500 0.327 0.231
Rh 0.000 0.229 0.434
Ni 0.500 0.019 0.825
P 0.000 0.925 0.010


The following is a DFT calculation (PBE) of an optimized crystal structure of Ni2PRh.

Values from the calculation:
The total magnetic moment comes out at 0.0 μB per formula unit. For the density of states at the Fermi level, the calculation gives 1.17 states/eV per atom. As for the space group: No. 44. The calculation puts the calculated total energy at -6.330 eV per atom. Its calculated density is 8.60 g/cm³.

Cell lengths 4.868, 4.868, 4.868 Å; angles 145.55, 131.29, 61.01 degrees
Fractional positions:
Ni 0.297 0.797 0.500
Rh 0.710 0.210 0.500
Ni 0.999 0.999 0.000
P 0.494 0.494 0.000


Question: Look up the total magnetic moment of the third one.
Answer: 0.0 μB per formula unit